Here is K2Rb2Hg after structural relaxation from the Alexandria database. Energies are from PBE-GGA.

**Energy**: -0.0361 hartree per atom
**Calculated formation energy**: -0.096 eV/atom
**Space group**: C2/m (12)
**DOS(E_F)**: 5.33 states/eV per cell
**E above lowest polymorph**: 0 meV per atom
**V**: 647.16 Å³ per cell

Cell lengths 9.549, 9.209, 9.209 Å; angles 116.00, 104.03, 104.03 degrees
Positions (direct):
Rb 0.239 0.236 0.679
K 0.383 0.235 0.235
K 0.617 0.765 0.765
K 0.867 0.254 0.254
Hg 0.000 0.099 0.901
Rb 0.761 0.321 0.764
Rb 0.761 0.764 0.321
Hg 0.000 0.901 0.099
K 0.133 0.746 0.746
Rb 0.239 0.679 0.236


Here is KRb4Hg after structural relaxation from the Alexandria database. Energies are from PBE-GGA.

**Energy**: -0.0344 hartree per atom
**Calculated formation energy**: -0.057 eV/atom
**Space group**: I4/mcm (140)
**DOS(E_F)**: 8.21 states/eV per cell
**E above lowest polymorph**: 6 meV per atom
**V**: 831.75 Å³ per cell

Cell lengths 9.683, 9.683, 11.206 Å; angles 115.60, 115.60, 90.00 degrees
Positions (direct):
Rb 0.023 0.186 0.709
Hg 0.750 0.750 0.500
Rb 0.186 0.686 0.709
Rb 0.814 0.314 0.291
Rb 0.314 0.477 0.291
Hg 0.250 0.250 0.500
Rb 0.523 0.023 0.709
K 0.500 0.500 0.000
K 0.000 0.000 0.000
Rb 0.686 0.523 0.709
Rb 0.977 0.814 0.291
Rb 0.477 0.977 0.291


Here is K2RbHg2 after structural relaxation from the Alexandria database. Energies are from PBE-GGA.

**Energy**: -0.0311 hartree per atom
**Calculated formation energy**: -0.094 eV/atom
**Space group**: I4/mmm (139)
**DOS(E_F)**: 3.07 states/eV per cell
**E above lowest polymorph**: 99 meV per atom
**V**: 260.67 Å³ per cell

Cell lengths 6.321, 6.321, 7.909 Å; angles 66.45, 66.45, 90.00 degrees
Positions (direct):
Hg 0.750 0.250 0.500
Hg 0.250 0.750 0.500
K 0.649 0.649 0.702
Rb 0.000 0.000 0.000
K 0.351 0.351 0.298


Here is KRbHg2 after structural relaxation from the Alexandria database. Energies are from PBE-GGA.

**Energy**: -0.0293 hartree per atom
**Calculated formation energy**: -0.130 eV/atom
**Space group**: R3m (160)
**DOS(E_F)**: 1.99 states/eV per cell
**E above lowest polymorph**: 109 meV per atom
**V**: 192.76 Å³ per cell

Cell lengths 5.654, 5.654, 7.690 Å; angles 68.43, 68.43, 60.00 degrees
Positions (direct):
Rb 0.490 0.490 0.530
Hg 0.088 0.088 0.736
Hg 0.244 0.244 0.268
K 0.678 0.678 0.966


Here is K2RbHg2 after structural relaxation from the Alexandria database. Energies are from PBE-GGA.

**Energy**: -0.0326 hartree per atom
**Calculated formation energy**: -0.135 eV/atom
**Space group**: P4/mbm (127)
**DOS(E_F)**: 10.74 states/eV per cell
**E above lowest polymorph**: 58 meV per atom
**V**: 438.34 Å³ per cell

Cell lengths 10.211, 10.211, 4.204 Å; angles 90.00, 90.00, 90.00 degrees
Positions (direct):
K 0.632 0.132 0.000
Hg 0.164 0.664 0.500
K 0.868 0.632 0.000
K 0.132 0.368 0.000
Hg 0.336 0.164 0.500
K 0.368 0.868 0.000
Rb 0.500 0.500 0.000
Rb 0.000 0.000 0.000
Hg 0.836 0.336 0.500
Hg 0.664 0.836 0.500


Here is K2Rb5Hg5 after structural relaxation from the Alexandria database. Energies are from PBE-GGA.

**Energy**: -0.0315 hartree per atom
**Calculated formation energy**: -0.147 eV/atom
**Space group**: C2/m (12)
**DOS(E_F)**: 9.62 states/eV per cell
**V**: 567.87 Å³ per cell

Cell lengths 6.232, 6.232, 17.235 Å; angles 79.62, 79.62, 60.15 degrees
Positions (direct):
Rb 0.690 0.690 0.931
Hg 0.400 0.400 0.800
Hg 0.000 0.000 0.000
Hg 0.146 0.146 0.561
Rb 0.220 0.220 0.341
Rb 0.780 0.780 0.659
Rb 0.310 0.310 0.069
Hg 0.854 0.854 0.439
Hg 0.600 0.600 0.200
K 0.929 0.929 0.214
K 0.071 0.071 0.786
Rb 0.500 0.500 0.500


Here is K7Rb3Hg after structural relaxation from the Alexandria database. Energies are from PBE-GGA.

**Energy**: -0.0361 hartree per atom
**Calculated formation energy**: 0.009 eV/atom
**Space group**: Cm (8)
**DOS(E_F)**: 7.86 states/eV per cell
**V**: 827.98 Å³ per cell

Cell lengths 9.472, 9.472, 11.452 Å; angles 64.46, 64.46, 72.46 degrees
Positions (direct):
K 0.767 0.767 0.425
K 0.132 0.132 0.122
K 0.193 0.586 0.187
Hg 0.946 0.946 0.037
K 0.964 0.342 0.760
Rb 0.784 0.229 0.490
K 0.740 0.740 0.981
K 0.586 0.193 0.187
Rb 0.442 0.442 0.810
Rb 0.229 0.784 0.490
K 0.342 0.964 0.760


Here is KRb2Hg after structural relaxation from the Alexandria database. Energies are from PBE-GGA.

**Energy**: -0.0344 hartree per atom
**Calculated formation energy**: -0.102 eV/atom
**Space group**: C2 (5)
**DOS(E_F)**: 2.32 states/eV per cell
**V**: 249.00 Å³ per cell

Cell lengths 4.940, 7.833, 7.833 Å; angles 62.13, 71.55, 71.55 degrees
Positions (direct):
Rb 0.441 0.503 0.615
K 0.250 0.215 0.285
Rb 0.059 0.885 0.997
Hg 0.750 0.897 0.603